A geometry-optimized CaMnGeO4 structure. Source: the Alexandria database, functional GGA+U.

Unit cell a=11.456 b=6.602 c=5.160 alpha=90.00 beta=90.00 gamma=90.00
Space group Pnma (No. 62)
Symmetry-distinct sites (fractional):
1 Ca 0.223 0.250 0.011 x4
2 Mn 0.000 0.000 0.500 x4
3 Ge 0.087 0.750 0.076 x4
4 O 0.053 0.250 0.762 x4
5 O 0.086 0.750 0.734 x4
6 O 0.155 0.537 0.227 x8

Properties
The value obtained for the volume is 390.3 Å³/cell. The total energy is -7.020 eV per atom. The calculation puts the offset from the most stable computed form at 0 meV per atom. The calculation puts the calculated density at 3.9 g cm⁻³.